Computed, not measured: a geometry-optimized Th5In2Fe structure at the GGA-PBE level of DFT.

Lattice parameters (Å, degrees): 8.081 12.385 4.671 90.00 90.00 90.00
Atoms (fractional coordinates):
Th  0.000  0.000  0.000
Th  0.125  0.307  0.000
Th  0.188  0.563  0.500
Th  0.312  0.063  0.500
Th  0.375  0.807  0.000
Th  0.500  0.500  0.000
Th  0.625  0.193  0.000
Th  0.688  0.937  0.500
Th  0.812  0.437  0.500
Th  0.875  0.693  0.000
In  0.084  0.825  0.500
In  0.416  0.325  0.500
In  0.584  0.675  0.500
In  0.916  0.175  0.500
Fe  0.000  0.500  0.000
Fe  0.500  0.000  0.000

Density of states at the Fermi level   1.287 states/eV/atom
Total magnetization   0.0 μB per formula unit
ΔH_f (0 K)   -1.237 eV/f.u.
Space group   Pbam